DyThZn2Ga2: optimized geometry, PBE.

Output
Electronic total energy: -3.96 eV per atom
M_tot: 0.0 μB per formula unit
ΔE_f: -0.52 eV per atom

```
6
Lattice="4.417 0.000 0.000 -2.208 3.825 0.000 0.000 0.000 7.502" Properties=species:S:1:pos:R:3 pbc="T T T"
Dy 0.000 0.000 3.751
Th 0.000 0.000 0.000
Zn 2.208 1.275 5.500
Zn 0.000 2.550 2.003
Ga 2.208 1.275 1.970
Ga 0.000 2.550 5.532
```



NpNiS3: optimized geometry, PBE.

Output
Electronic total energy: -7.06 eV per atom
M_tot: 2.9 μB per formula unit
Raw formation energy: -0.84 eV/atom

```
10
Lattice="4.222 0.000 0.000 0.000 5.080 0.000 0.000 -2.540 10.199" Properties=species:S:1:pos:R:3 pbc="T T T"
Np 1.055 3.346 6.934
Np 3.166 0.806 3.265
Ni 1.055 3.375 2.875
Ni 3.166 0.835 7.323
S 3.166 2.768 8.459
S 3.166 3.217 2.169
S 3.166 -0.621 5.622
S 1.055 0.677 8.030
S 1.055 0.228 1.740
S 1.055 1.919 4.577
```



K2PtAuO4: optimized geometry, PBE.

Output
Electronic total energy: -4.69 eV per atom
M_tot: 1.0 μB per formula unit
Raw formation energy: -0.77 eV/atom

```
16
Lattice="-4.082 4.023 2.205 -5.631 -3.124 3.826 2.998 2.736 9.109" Properties=species:S:1:pos:R:3 pbc="T T T"
K 1.256 2.486 6.342
K -2.341 4.273 4.972
K -2.636 3.073 10.889
K -6.119 2.572 5.354
Pt -4.378 2.823 8.121
Pt 0.000 0.000 0.000
Au -2.337 0.812 7.019
Au -2.041 2.011 1.102
O -5.959 -1.145 3.862
O 1.295 2.758 10.171
O -5.019 3.612 14.067
O -3.747 2.044 2.181
O -4.050 0.843 8.086
O -2.675 2.801 7.060
O -6.074 2.846 9.195
O -0.631 0.779 5.940
```



K3Ho2GaO6: optimized geometry, PBE.

Output
Electronic total energy: -6.12 eV per atom
M_tot: 0.0 μB per formula unit
Raw formation energy: -2.36 eV/atom

```
12
Lattice="5.800 -0.002 0.002 -2.900 5.023 0.002 -0.965 -1.671 6.221" Properties=species:S:1:pos:R:3 pbc="T T T"
K -1.963 3.367 3.112
K 3.898 -0.017 3.112
K 0.967 1.675 3.112
Ho -0.002 3.349 0.002
Ho 2.902 1.672 0.002
Ga 0.000 0.000 0.000
O 2.843 1.778 5.093
O 1.994 3.453 1.126
O -0.908 1.572 1.132
O 0.119 3.351 5.093
O -0.059 -0.103 5.098
O 1.815 -0.001 1.132
```



Number 1: DOS at the Fermi energy 0.56 states/eV/atom. Number 2: DOS at the Fermi energy 1.82 states/eV/atom. Number 3: DOS at the Fermi energy 0.46 states/eV/atom. Number 4: DOS at the Fermi energy 0.00 states/eV/atom.